(1)
# PBE CaNdDy4S8, relaxed
data_CaNdDy4S8
_chemical_formula_sum 'Ca1 Nd1 Dy4 S8'
_symmetry_space_group_name_H-M 'P 1'
_symmetry_Int_Tables_number 1
_cell_length_a 8.1077
_cell_length_b 8.1077
_cell_length_c 8.1704
_cell_angle_alpha 60.25
_cell_angle_beta 60.25
_cell_angle_gamma 60.00
loop_
_symmetry_equiv_pos_as_xyz
'x,y,z'
loop_
_atom_site_label
_atom_site_type_symbol
_atom_site_fract_x
_atom_site_fract_y
_atom_site_fract_z
_atom_site_occupancy
Dy1 Dy 0.6255 0.6255 0.1235 1
Nd1 Nd 0.0017 0.0017 0.9948 1
Dy2 Dy 0.0018 0.4942 0.5021 1
Dy3 Dy 0.0018 0.0018 0.5021 1
Ca1 Ca 0.3742 0.3742 0.8775 1
S1 S 0.7521 0.2296 0.2661 1
Dy4 Dy 0.4942 0.0018 0.5021 1
S2 S 0.7788 0.2453 0.7306 1
S3 S 0.2453 0.7788 0.7306 1
S4 S 0.2296 0.7521 0.2661 1
S5 S 0.2453 0.2453 0.7306 1
S6 S 0.2393 0.2393 0.2822 1
S7 S 0.7582 0.7582 0.7255 1
S8 S 0.7521 0.7521 0.2661 1
# Calculated volume (Å³ per cell): 381
# E_form (uncorrected) (eV/atom): -1.99

(2)
# PBE CaNd2DyS4, relaxed
data_CaNd2DyS4
_chemical_formula_sum 'Ca1 Nd2 Dy1 S4'
_symmetry_space_group_name_H-M 'P 1'
_symmetry_Int_Tables_number 1
_cell_length_a 3.9865
_cell_length_b 6.9284
_cell_length_c 7.0048
_cell_angle_alpha 109.03
_cell_angle_beta 90.00
_cell_angle_gamma 90.00
loop_
_symmetry_equiv_pos_as_xyz
'x,y,z'
loop_
_atom_site_label
_atom_site_type_symbol
_atom_site_fract_x
_atom_site_fract_y
_atom_site_fract_z
_atom_site_occupancy
Nd1 Nd 0.5000 0.0000 0.5000 1
S1 S 0.5000 0.2490 0.2386 1
Nd2 Nd 0.0000 0.5000 0.5000 1
S2 S 0.5000 0.7510 0.7614 1
S3 S 0.0000 0.7438 0.2358 1
Dy1 Dy 0.5000 0.5000 0.0000 1
Ca1 Ca 0.0000 0.0000 0.0000 1
S4 S 0.0000 0.2562 0.7642 1
# Calculated volume (Å³ per cell): 183
# E_form (uncorrected) (eV/atom): -2.03

(3)
# PBE Ca2NdDyS4, relaxed
data_Ca2NdDyS4
_chemical_formula_sum 'Ca2 Nd1 Dy1 S4'
_symmetry_space_group_name_H-M 'P 1'
_symmetry_Int_Tables_number 1
_cell_length_a 3.9808
_cell_length_b 6.9005
_cell_length_c 7.0102
_cell_angle_alpha 109.12
_cell_angle_beta 90.00
_cell_angle_gamma 90.00
loop_
_symmetry_equiv_pos_as_xyz
'x,y,z'
loop_
_atom_site_label
_atom_site_type_symbol
_atom_site_fract_x
_atom_site_fract_y
_atom_site_fract_z
_atom_site_occupancy
Dy1 Dy 0.0000 0.0000 0.0000 1
Nd1 Nd 0.5000 0.5000 0.0000 1
Ca1 Ca 0.0000 0.5000 0.5000 1
S1 S 0.5000 0.2424 0.2477 1
Ca2 Ca 0.5000 0.0000 0.5000 1
S2 S 0.0000 0.7584 0.2531 1
S3 S 0.5000 0.7576 0.7523 1
S4 S 0.0000 0.2416 0.7469 1
# Calculated volume (Å³ per cell): 182
# E_form (uncorrected) (eV/atom): -2.05

(4)
# PBE CaNd4Dy3S8, relaxed
data_CaNd4Dy3S8
_chemical_formula_sum 'Ca1 Nd4 Dy3 S8'
_symmetry_space_group_name_H-M 'P 1'
_symmetry_Int_Tables_number 1
_cell_length_a 7.9556
_cell_length_b 8.0475
_cell_length_c 7.9558
_cell_angle_alpha 119.62
_cell_angle_beta 120.00
_cell_angle_gamma 90.00
loop_
_symmetry_equiv_pos_as_xyz
'x,y,z'
loop_
_atom_site_label
_atom_site_type_symbol
_atom_site_fract_x
_atom_site_fract_y
_atom_site_fract_z
_atom_site_occupancy
Nd1 Nd 0.5000 0.0000 0.5000 1
Dy1 Dy 0.5000 0.5000 0.5000 1
S1 S 0.2460 0.7354 0.9894 1
S2 S 0.7435 0.7354 0.9894 1
S3 S 0.7540 0.2646 0.0106 1
S4 S 0.2553 0.2658 0.5105 1
Dy2 Dy 0.0000 0.5000 0.5000 1
S5 S 0.7447 0.7342 0.4895 1
Ca1 Ca 0.0000 0.5000 0.0000 1
S6 S 0.2459 0.7354 0.4919 1
Dy3 Dy 0.5000 0.5000 0.0000 1
Nd2 Nd 0.0000 0.0000 0.0000 1
Nd3 Nd 0.5000 0.0000 0.0000 1
S7 S 0.2565 0.2646 0.0106 1
S8 S 0.7541 0.2646 0.5081 1
Nd4 Nd 0.0000 0.0000 0.5000 1
# Calculated volume (Å³ per cell): 362
# E_form (uncorrected) (eV/atom): -2.02

(5)
# PBE CaNdDy2Sb4, relaxed
data_CaNdDy2Sb4
_chemical_formula_sum 'Ca1 Nd1 Dy2 Sb4'
_symmetry_space_group_name_H-M 'P 1'
_symmetry_Int_Tables_number 1
_cell_length_a 6.2990
_cell_length_b 6.2989
_cell_length_c 7.7143
_cell_angle_alpha 114.09
_cell_angle_beta 114.09
_cell_angle_gamma 90.02
loop_
_symmetry_equiv_pos_as_xyz
'x,y,z'
loop_
_atom_site_label
_atom_site_type_symbol
_atom_site_fract_x
_atom_site_fract_y
_atom_site_fract_z
_atom_site_occupancy
Sb1 Sb 0.4375 0.9375 0.0000 1
Sb2 Sb 0.6878 0.6878 0.5019 1
Sb3 Sb 0.9375 0.4375 0.0000 1
Dy1 Dy 0.6868 0.1868 0.5000 1
Sb4 Sb 0.1859 0.1859 0.4981 1
Ca1 Ca 0.4375 0.4375 0.0000 1
Dy2 Dy 0.1868 0.6868 0.5000 1
Nd1 Nd 0.9376 0.9376 0.0000 1
# Calculated volume (Å³ per cell): 250
# E_form (uncorrected) (eV/atom): -1.03

(6)
# PBE CaNdDySc, relaxed
data_CaNdDySc
_chemical_formula_sum 'Ca1 Nd1 Dy1 Sc1'
_symmetry_space_group_name_H-M 'P 1'
_symmetry_Int_Tables_number 1
_cell_length_a 5.6621
_cell_length_b 5.6621
_cell_length_c 5.6621
_cell_angle_alpha 60.00
_cell_angle_beta 60.00
_cell_angle_gamma 60.00
loop_
_symmetry_equiv_pos_as_xyz
'x,y,z'
loop_
_atom_site_label
_atom_site_type_symbol
_atom_site_fract_x
_atom_site_fract_y
_atom_site_fract_z
_atom_site_occupancy
Nd1 Nd 0.5000 0.5000 0.5000 1
Dy1 Dy 0.0000 0.0000 0.0000 1
Ca1 Ca 0.2500 0.2500 0.2500 1
Sc1 Sc 0.7500 0.7500 0.7500 1
# Calculated volume (Å³ per cell): 128
# ΔH_f (0 K) (eV/atom): 0.1500

(7)
# PBE Ca2NdDySe4, relaxed
data_Ca2NdDySe4
_chemical_formula_sum 'Ca2 Nd1 Dy1 Se4'
_symmetry_space_group_name_H-M 'P 1'
_symmetry_Int_Tables_number 1
_cell_length_a 4.1449
_cell_length_b 7.1865
_cell_length_c 7.3132
_cell_angle_alpha 109.08
_cell_angle_beta 90.00
_cell_angle_gamma 90.00
loop_
_symmetry_equiv_pos_as_xyz
'x,y,z'
loop_
_atom_site_label
_atom_site_type_symbol
_atom_site_fract_x
_atom_site_fract_y
_atom_site_fract_z
_atom_site_occupancy
Dy1 Dy 0.0000 0.0000 0.0000 1
Se1 Se 0.0000 0.2420 0.7465 1
Ca1 Ca 0.0000 0.5000 0.5000 1
Nd1 Nd 0.5000 0.5000 0.0000 1
Se2 Se 0.0000 0.7580 0.2535 1
Se3 Se 0.5000 0.7569 0.7516 1
Ca2 Ca 0.5000 0.0000 0.5000 1
Se4 Se 0.5000 0.2431 0.2484 1
# Calculated volume (Å³ per cell): 206
# E_form (uncorrected) (eV/atom): -1.89

(8)
# PBE CaNd3Dy2Se6, relaxed
data_CaNd3Dy2Se6
_chemical_formula_sum 'Ca1 Nd3 Dy2 Se6'
_symmetry_space_group_name_H-M 'P 1'
_symmetry_Int_Tables_number 1
_cell_length_a 7.1633
_cell_length_b 7.1633
_cell_length_c 7.3231
_cell_angle_alpha 99.33
_cell_angle_beta 99.33
_cell_angle_gamma 120.03
loop_
_symmetry_equiv_pos_as_xyz
'x,y,z'
loop_
_atom_site_label
_atom_site_type_symbol
_atom_site_fract_x
_atom_site_fract_y
_atom_site_fract_z
_atom_site_occupancy
Ca1 Ca 0.0000 0.0000 0.0000 1
Se1 Se 0.2567 0.2567 0.7662 1
Dy1 Dy 0.3330 0.6670 0.0000 1
Se2 Se 0.4142 0.0792 0.2379 1
Dy2 Dy 0.6670 0.3330 0.0000 1
Nd1 Nd 0.5000 0.5000 0.5000 1
Nd2 Nd 0.8356 0.1644 0.5000 1
Se3 Se 0.9208 0.5858 0.7621 1
Nd3 Nd 0.1644 0.8356 0.5000 1
Se4 Se 0.7433 0.7433 0.2338 1
Se5 Se 0.5858 0.9208 0.7621 1
Se6 Se 0.0792 0.4142 0.2379 1
# Calculated volume (Å³ per cell): 308
# E_form (uncorrected) (eV/atom): -1.83

(9)
# PBE CaNd2DySe4, relaxed
data_CaNd2DySe4
_chemical_formula_sum 'Ca1 Nd2 Dy1 Se4'
_symmetry_space_group_name_H-M 'P 1'
_symmetry_Int_Tables_number 1
_cell_length_a 4.1457
_cell_length_b 7.2070
_cell_length_c 7.3078
_cell_angle_alpha 108.95
_cell_angle_beta 90.00
_cell_angle_gamma 90.00
loop_
_symmetry_equiv_pos_as_xyz
'x,y,z'
loop_
_atom_site_label
_atom_site_type_symbol
_atom_site_fract_x
_atom_site_fract_y
_atom_site_fract_z
_atom_site_occupancy
Se1 Se 0.5000 0.7513 0.7610 1
Dy1 Dy 0.5000 0.5000 0.0000 1
Nd1 Nd 0.0000 0.5000 0.5000 1
Se2 Se 0.0000 0.7446 0.2367 1
Nd2 Nd 0.5000 0.0000 0.5000 1
Ca1 Ca 0.0000 0.0000 0.0000 1
Se3 Se 0.5000 0.2487 0.2390 1
Se4 Se 0.0000 0.2554 0.7633 1
# Calculated volume (Å³ per cell): 207
# E_form (uncorrected) (eV/atom): -1.85

(10)
# PBE CaNd2Dy3Se6, relaxed
data_CaNd2Dy3Se6
_chemical_formula_sum 'Ca1 Nd2 Dy3 Se6'
_symmetry_space_group_name_H-M 'P 1'
_symmetry_Int_Tables_number 1
_cell_length_a 4.1193
_cell_length_b 8.3568
_cell_length_c 9.2880
_cell_angle_alpha 103.29
_cell_angle_beta 102.81
_cell_angle_gamma 90.00
loop_
_symmetry_equiv_pos_as_xyz
'x,y,z'
loop_
_atom_site_label
_atom_site_type_symbol
_atom_site_fract_x
_atom_site_fract_y
_atom_site_fract_z
_atom_site_occupancy
Se1 Se 0.9978 0.2512 0.9956 1
Ca1 Ca 0.5000 0.0000 0.0000 1
Dy1 Dy 0.8305 0.1702 0.6609 1
Dy2 Dy 0.5000 0.5000 0.0000 1
Dy3 Dy 0.1695 0.8298 0.3391 1
Nd1 Nd 0.1716 0.3421 0.3431 1
Se2 Se 0.3391 0.4091 0.6783 1
Se3 Se 0.0022 0.7488 0.0044 1
Se4 Se 0.3339 0.9266 0.6679 1
Nd2 Nd 0.8284 0.6579 0.6569 1
Se5 Se 0.6661 0.0734 0.3321 1
Se6 Se 0.6609 0.5909 0.3217 1
# Calculated volume (Å³ per cell): 303
# E_form (uncorrected) (eV/atom): -1.83

> What is the formula in the fourth record?

CaNd4Dy3S8

> The lowest calculated volume belongs to which entry?

CaNdDySc

> Which formula does entry 2 have?

CaNd2DyS4